Computed, not measured: a relaxed SrAg2PtF crystal at the GGA-PBE level of DFT.

Geometry as extended XYZ:
```
5
Lattice="5.2154 0.0000 0.0000 0.0000 4.4687 0.0000 0.0000 0.0000 5.2154" Properties=species:S:1:pos:R:3 pbc="T T T"
Pt 0.0000 0.0000 0.0000
Sr 2.6077 2.2343 2.6077
Ag 2.6077 0.0000 0.0000
Ag 0.0000 0.0000 2.6077
F 0.0000 2.2343 0.0000
```

Properties
Total energy: -17.17 eV per formula unit
Formation energy without anion corrections: -374 meV/atom
SG: P4/mmm, No. 123
M_tot: 0.000 μB per atom

---

Computed, not measured: a relaxed Sr2ZnPtC crystal at the GGA-PBE level of DFT.

Geometry as extended XYZ:
```
5
Lattice="-1.6657 0.9462 5.2136 -5.2917 -0.0147 -1.6880 -0.1918 -3.8352 0.6347" Properties=species:S:1:pos:R:3 pbc="T T T"
Sr -2.6459 -0.0074 -0.8440
Sr -0.8329 0.4731 2.6068
Pt -0.0959 -1.9176 0.3174
Zn -3.5746 -1.4519 2.0802
C 0.0000 0.0000 0.0000
```

Properties
Total energy: -21.14 eV per formula unit
SG: P4/mmm, No. 123
M_tot: 0.000 μB per atom
Energy of formation from the pure elements: -1.234 eV per formula unit

---

Computed, not measured: a relaxed In3W crystal at the GGA-PBE level of DFT.

Geometry as extended XYZ:
```
4
Lattice="3.0208 0.0000 0.0000 0.0000 3.0208 0.0000 0.0000 0.0000 9.6014" Properties=species:S:1:pos:R:3 pbc="T T T"
In 0.0000 0.0000 4.8007
In 1.5104 1.5104 2.1102
In 1.5104 1.5104 7.4912
W 0.0000 0.0000 0.0000
```

Properties
Total energy: -19.18 eV per formula unit
Polymorph energy (0 for the lowest one): 2.5 kJ/mol of atoms
SG: P4/mmm, No. 123
M_tot: 0.000 μB per atom
Energy of formation from the pure elements: 1.989 eV per formula unit

---

Computed, not measured: a relaxed CrB crystal at the GGA-PBE level of DFT.

Geometry as extended XYZ:
```
16
Lattice="-3.7295 0.0805 1.8465 1.2976 -2.8496 2.7450 2.4511 5.6479 4.7044" Properties=species:S:1:pos:R:3 pbc="T T T"
Cr 0.3771 1.8178 4.2246
Cr 1.6525 4.1965 4.4509
Cr -1.9579 2.5063 4.1698
Cr 0.3667 -1.6063 1.9599
Cr 0.5305 -0.6689 4.4956
Cr -0.6967 2.1410 6.5859
Cr -1.4478 0.0891 3.0595
Cr 1.2524 3.0398 8.2376
B 1.3990 2.5786 6.0309
B -0.1030 0.2529 0.9439
B 0.5940 0.5113 2.5511
B -1.4922 0.6559 5.1772
B 1.2200 0.8185 5.9567
B -1.5037 -1.1079 5.0201
B -0.4509 3.7756 4.9897
B 0.4136 4.0304 6.5140
```

Properties
Total energy: -16.99 eV per formula unit
SG: P2_12_12_1, No. 19
M_tot: 0.000 μB per atom
Energy of formation from the pure elements: -0.690 eV per formula unit

---

Computed, not measured: a relaxed Mg3PdI crystal at the GGA-PBE level of DFT.

Geometry as extended XYZ:
```
5
Lattice="5.1549 0.0000 0.0000 0.0000 5.1549 0.0000 0.0000 0.0000 5.1549" Properties=species:S:1:pos:R:3 pbc="T T T"
I 2.5775 2.5775 2.5775
Mg 0.0000 0.0000 2.5775
Mg 2.5775 0.0000 0.0000
Mg 0.0000 2.5775 0.0000
Pd 0.0000 0.0000 0.0000
```

Properties
Total energy: -12.90 eV per formula unit
Polymorph energy (0 for the lowest one): 0.0 kJ/mol of atoms
Formation energy without anion corrections: -274 meV/atom
SG: Pm-3m, No. 221
M_tot: 0.000 μB per atom

---

Computed, not measured: a relaxed Cs2YIrF crystal at the GGA-PBE level of DFT.

Geometry as extended XYZ:
```
5
Lattice="-1.2984 -5.7026 3.4480 4.8926 -1.4784 -0.6028 1.6584 3.1259 5.7942" Properties=species:S:1:pos:R:3 pbc="T T T"
F 2.6263 -2.0276 4.3198
Ir 0.0000 0.0000 0.0000
Y 2.4463 -0.7392 -0.3014
Cs 0.8292 1.5629 2.8971
Cs -0.6492 -2.8513 1.7240
```

Properties
Total energy: -20.25 eV per formula unit
Formation energy without anion corrections: -269 meV/atom
SG: P4/mmm, No. 123
M_tot: 0.000 μB per atom

---

Computed, not measured: a relaxed ReW2Au crystal at the GGA-PBE level of DFT.

Geometry as extended XYZ:
```
4
Lattice="4.8817 -0.0153 0.0000 1.5917 4.6149 0.0000 -3.2367 -2.2998 2.8400" Properties=species:S:1:pos:R:3 pbc="T T T"
W 0.0000 0.0000 0.0000
W 0.7958 2.3075 1.4200
Re 2.4408 -0.0076 1.4200
Au 3.2367 2.2998 0.0000
```

Properties
Total energy: -40.23 eV per formula unit
Polymorph energy (0 for the lowest one): 7.8 kJ/mol of atoms
SG: I-4m2, No. 119
M_tot: 0.000 μB per atom
Energy of formation from the pure elements: 1.402 eV per formula unit

---

Computed, not measured: a relaxed Y4ScSi crystal at the GGA-PBE level of DFT.

Geometry as extended XYZ:
```
6
Lattice="0.0000 4.4249 4.4249 4.4249 0.0000 4.4249 4.4249 4.4249 0.0000" Properties=species:S:1:pos:R:3 pbc="T T T"
Y 3.3245 5.5252 5.5252
Y 5.5252 5.5252 3.3245
Y 5.5252 3.3245 5.5252
Y 3.3245 3.3245 3.3245
Sc 6.6373 6.6373 6.6373
Si 0.0000 0.0000 0.0000
```

Properties
Total energy: -34.66 eV per formula unit
Formation energy without anion corrections: 492 meV/atom
SG: F-43m, No. 216
M_tot: 0.200 μB per atom

---

Computed, not measured: a relaxed RbGe2Sb2 crystal at the GGA-PBE level of DFT.

Geometry as extended XYZ:
```
5
Lattice="-2.1121 -4.6641 0.3545 1.2158 -0.1718 4.9833 -5.6824 0.0560 4.0313" Properties=species:S:1:pos:R:3 pbc="T T T"
Sb -4.1214 -3.5131 3.5274
Sb -2.4574 -1.2669 5.8417
Rb 0.0000 0.0000 0.0000
Ge -4.7234 -3.0271 6.3339
Ge -1.8553 -1.7529 3.0352
```

Properties
Total energy: -18.61 eV per formula unit
Polymorph energy (0 for the lowest one): 5.3 kJ/mol of atoms
Formation energy without anion corrections: -32 meV/atom
SG: I4/mmm, No. 139
M_tot: 0.000 μB per atom

---

Computed, not measured: a relaxed RbSb3As crystal at the GGA-PBE level of DFT.

Geometry as extended XYZ:
```
5
Lattice="5.5859 0.0000 0.0000 0.0000 5.5859 0.0000 0.0000 0.0000 5.5859" Properties=species:S:1:pos:R:3 pbc="T T T"
Sb 0.0000 2.7929 0.0000
Sb 0.0000 0.0000 2.7929
Sb 2.7929 0.0000 0.0000
Rb 2.7929 2.7929 2.7929
As 0.0000 0.0000 0.0000
```

Properties
Total energy: -16.58 eV per formula unit
Polymorph energy (0 for the lowest one): 0.0 kJ/mol of atoms
Formation energy without anion corrections: 281 meV/atom
SG: Pm-3m, No. 221
M_tot: 0.000 μB per atom

---

Computed, not measured: a relaxed YSnBi2Mo crystal at the GGA-PBE level of DFT.

Geometry as extended XYZ:
```
5
Lattice="5.4169 0.0000 0.0000 0.0000 5.2549 0.0000 0.0000 0.0000 5.4169" Properties=species:S:1:pos:R:3 pbc="T T T"
Y 2.7084 2.6274 2.7084
Sn 0.0000 2.6274 0.0000
Bi 0.0000 0.0000 2.7084
Bi 2.7084 0.0000 0.0000
Mo 0.0000 0.0000 0.0000
```

Properties
Total energy: -26.97 eV per formula unit
SG: P4/mmm, No. 123
M_tot: 0.000 μB per atom
Energy of formation from the pure elements: 2.090 eV per formula unit

---

Computed, not measured: a relaxed Eu3SbC crystal at the GGA-PBE level of DFT.

Geometry as extended XYZ:
```
5
Lattice="5.1196 0.0000 0.0000 0.0000 5.1196 0.0000 0.0000 0.0000 5.1196" Properties=species:S:1:pos:R:3 pbc="T T T"
Eu 2.5598 0.0000 0.0000
Eu 0.0000 2.5598 0.0000
Eu 0.0000 0.0000 2.5598
Sb 2.5598 2.5598 2.5598
C 0.0000 0.0000 0.0000
```

Properties
Total energy: -46.36 eV per formula unit
Formation energy without anion corrections: -439 meV/atom
SG: Pm-3m, No. 221
M_tot: 4.030 μB per atom

---

Computed, not measured: a relaxed Ba4PtSBr2 crystal at the GGA-PBE level of DFT.

Geometry as extended XYZ:
```
8
Lattice="4.5502 0.0000 0.0000 0.0000 8.4340 -0.4538 0.0000 2.6877 7.6756" Properties=species:S:1:pos:R:3 pbc="T T T"
Br 2.2751 1.3438 3.8378
Br 0.0000 2.6877 7.6756
Ba 0.0001 8.0153 5.4722
Ba 2.2751 4.3798 5.5023
Ba 2.2752 6.7419 1.7194
Ba 4.5502 3.1064 1.7496
S 2.2751 4.2170 -0.2269
Pt 0.0000 5.5608 3.6109
```

Properties
Total energy: -33.61 eV per formula unit
Formation energy without anion corrections: -1550 meV/atom
SG: P2/m, No. 10
M_tot: 0.000 μB per atom